# 1
A plane-wave DFT calculation with GGA-PBE was carried out for an optimized crystal structure of ScTi2In.

- calculated formation energy (eV per atom) = -0.11
- V (Å³ per atom) = 19.5

abc: 4.2573 4.2573 4.3073
angles: 90.00 90.00 90.00
Closest atoms and distances in Å follow each position.
Space group P4/mmm (No. 123)
Asymmetric unit:
Sc1 0.0000 0.0000 0.0000 x1  4 In 3.01, 8 Ti 3.03
Ti1 0.0000 0.5000 0.5000 x2  4 Ti 3.01, 4 In 3.03, 4 Sc 3.03
In1 0.5000 0.5000 0.0000 x1  4 Sc 3.01, 8 Ti 3.03

---

# 2
A plane-wave DFT calculation with GGA-PBE was carried out for an optimized crystal structure of ScTi5In6.

- calculated formation energy (eV per atom) = -0.18
- V (Å³ per atom) = 19.7

abc: 4.2823 8.6255 12.8243
angles: 90.00 90.00 90.00
Closest atoms and distances in Å follow each position.
Space group Immm (No. 71)
Asymmetric unit:
Sc1 0.0000 0.0000 0.0000 x2  8 In 3.06-3.07, 4 Ti 3.07
Ti1 0.0000 0.0000 0.3328 x4  4 Ti 2.98-3.03, 8 In 3.01-3.04
Ti2 0.0000 0.5000 0.0000 x2  8 In 3.01-3.03, 4 Ti 3.03
Ti3 0.0000 0.5000 0.3287 x4  8 In 2.97-3.11, 2 Ti 2.98, 2 Sc 3.07
In1 0.0000 0.2449 0.5000 x4  6 Ti 3.01-3.11, 4 In 3.03, 2 Sc 3.07
In2 0.0000 0.2524 0.1677 x8  7 Ti 2.97-3.05, 4 In 3.01-3.03, 1 Sc 3.06

---

# 3
A plane-wave DFT calculation with GGA-PBE was carried out for an optimized crystal structure of ScTiTlIn.

- calculated formation energy (eV per atom) = -0.08
- V (Å³ per atom) = 21.6

abc: 7.0154 7.0154 7.0154
angles: 90.00 90.00 90.00
Closest atoms and distances in Å follow each position.
Space group F-43m (No. 216)
Asymmetric unit:
Sc1 0.0000 0.0000 0.0000 x4  4 In 3.04, 4 Tl 3.04
Ti1 0.0000 0.0000 0.5000 x4  4 Tl 3.04, 4 In 3.04
Tl1 0.2500 0.2500 0.7500 x4  4 Sc 3.04, 4 Ti 3.04
In1 0.2500 0.2500 0.2500 x4  4 Ti 3.04, 4 Sc 3.04

---

# 4
A plane-wave DFT calculation with GGA-PBE was carried out for an optimized crystal structure of TmScTiIn.

- calculated formation energy (eV per atom) = -0.11
- V (Å³ per atom) = 23.2

abc: 7.1870 7.1870 7.1870
angles: 90.00 90.00 90.00
Closest atoms and distances in Å follow each position.
Space group F-43m (No. 216)
Asymmetric unit:
Tm1 0.0000 0.0000 0.0000 x4  4 In 3.11, 4 Ti 3.11
Sc1 0.0000 0.0000 0.5000 x4  4 In 3.11, 4 Ti 3.11
Ti1 0.2500 0.2500 0.7500 x4  4 Tm 3.11, 4 Sc 3.11
In1 0.2500 0.2500 0.2500 x4  4 Tm 3.11, 4 Sc 3.11

---

# 5
A plane-wave DFT calculation with GGA-PBE was carried out for an optimized crystal structure of ScTiIn2W.

- calculated formation energy (eV per atom) = 1.48
- V (Å³ per atom) = 25.8

abc: 5.2624 5.2624 4.6552
angles: 90.00 90.00 90.00
Closest atoms and distances in Å follow each position.
Space group P4/mmm (No. 123)
Asymmetric unit:
Sc1 0.0000 0.0000 0.0000 x1  2 W 2.33
Ti1 0.5000 0.5000 0.5000 x1  8 In 3.51, 4 W 3.72
In1 0.0000 0.5000 0.0000 x2  2 Sc 2.63
W1 0.0000 0.0000 0.5000 x1  2 Sc 2.33

---

# 6
A plane-wave DFT calculation with GGA-PBE was carried out for an optimized crystal structure of ScTlIn3.

- E above lowest polymorph (meV/atom) = 0.0
- calculated formation energy (eV per atom) = 0.35
- V (Å³ per atom) = 35.8

abc: 5.6349 5.6349 5.6349
angles: 90.00 90.00 90.00
Closest atoms and distances in Å follow each position.
Space group Pm-3m (No. 221)
Asymmetric unit:
Sc1 0.0000 0.0000 0.0000 x1  6 In 2.82
Tl1 0.5000 0.5000 0.5000 x1  12 In 3.98
In1 0.0000 0.0000 0.5000 x3  2 Sc 2.82

---

# 7
A plane-wave DFT calculation with GGA-PBE was carried out for an optimized crystal structure of Sc8Tl2In.

- E above lowest polymorph (meV/atom) = 71.5
- calculated formation energy (eV per atom) = -0.09
- V (Å³ per atom) = 24.6

abc: 8.2230 14.1013 5.1524
angles: 90.00 115.31 90.00
Closest atoms and distances in Å follow each position.
Space group C2/m (No. 12)
Asymmetric unit:
Sc1 0.0000 0.2124 0.0000 x4  2 Tl 2.89, 1 In 2.99
Sc2 0.0944 0.5000 0.7951 x4  1 Sc 2.76, 1 In 3.04, 2 Tl 3.08
Sc3 0.2132 0.1118 0.6355 x8  2 Tl 2.97-3.15, 5 Sc 3.10-3.30
Tl1 0.0000 0.3048 0.5000 x4  8 Sc 2.89-3.15
In1 0.0000 0.0000 0.0000 x2  4 Sc 2.99-3.04

---

# 8
A plane-wave DFT calculation with GGA-PBE was carried out for an optimized crystal structure of Sc2TlIn.

- E above lowest polymorph (meV/atom) = 280.0
- calculated formation energy (eV per atom) = -0.06
- V (Å³ per atom) = 25.2

abc: 3.3705 3.3705 30.7452
angles: 90.00 90.00 120.00
Closest atoms and distances in Å follow each position.
Space group R3m (No. 160, hexagonal axes)
Asymmetric unit:
Sc1 0.0000 0.0000 0.0000 x3  9 Sc 3.15-3.37, 3 Tl 3.25
Sc2 0.0000 0.0000 0.2527 x3  9 Sc 3.15-3.37, 3 In 3.21
Tl1 0.0000 0.0000 0.7512 x3  3 Sc 3.25, 3 In 3.26, 6 Tl 3.37
In1 0.0000 0.0000 0.5031 x3  3 Sc 3.21, 3 Tl 3.26, 6 In 3.37

---

# 9
A plane-wave DFT calculation with GGA-PBE was carried out for an optimized crystal structure of ScTlIn.

- E above lowest polymorph (meV/atom) = 15.5
- calculated formation energy (eV per atom) = -0.13
- V (Å³ per atom) = 25.0

abc: 3.3477 13.4704 6.6621
angles: 90.00 90.00 90.00
Closest atoms and distances in Å follow each position.
Space group Cmcm (No. 63)
Asymmetric unit:
Sc1 0.0000 0.0000 0.0000 x4  4 In 3.13, 4 Tl 3.15, 4 Sc 3.33-3.35
Tl1 0.0000 0.3458 0.2500 x4  4 In 3.09-3.33, 4 Sc 3.15, 2 Tl 3.35
In1 0.0000 0.3474 0.7500 x4  4 Tl 3.09-3.33, 4 Sc 3.13, 2 In 3.35

---

# 10
A plane-wave DFT calculation with GGA-PBE was carried out for an optimized crystal structure of ScTlIn2.

- calculated formation energy (eV per atom) = 0.01
- V (Å³ per atom) = 27.8

abc: 4.8290 4.8290 16.5216
angles: 90.00 90.00 120.00
Closest atoms and distances in Å follow each position.
Space group R3m (No. 160, hexagonal axes)
Asymmetric unit:
Sc1 0.0000 0.0000 0.0000 x3  6 In 2.94-3.07, 1 Tl 3.05
Tl1 0.0000 0.0000 0.8152 x3  1 Sc 3.05, 6 In 3.18-3.30
In1 0.0000 0.0000 0.3889 x3  3 Sc 2.94, 3 Tl 3.18
In2 0.0000 0.0000 0.5892 x3  3 Sc 3.07, 3 Tl 3.30, 1 In 3.31

---

# 11
A plane-wave DFT calculation with GGA-PBE was carried out for an optimized crystal structure of Sc2Tl2In.

- E above lowest polymorph (meV/atom) = 0.0
- calculated formation energy (eV per atom) = -0.15
- V (Å³ per atom) = 24.5

abc: 8.2888 8.2888 3.5597
angles: 90.00 90.00 90.00
Closest atoms and distances in Å follow each position.
Space group P4/mbm (No. 127)
Asymmetric unit:
Sc1 0.1732 0.3268 0.0000 x4  6 Tl 2.91-3.10
Tl1 0.1300 0.6300 0.5000 x4  6 Sc 2.91-3.10, 1 Tl 3.05, 2 In 3.25
In1 0.0000 0.0000 0.5000 x2  4 Tl 3.25, 8 Sc 3.54, 2 In 3.56

---

# 12
A plane-wave DFT calculation with GGA-PBE was carried out for an optimized crystal structure of Sc6Tl3In.

- calculated formation energy (eV per atom) = -0.27
- V (Å³ per atom) = 23.5

abc: 9.1365 4.9308 10.7270
angles: 90.00 103.80 90.00
Closest atoms and distances in Å follow each position.
Space group P2_1/m (No. 11)
Asymmetric unit:
Sc1 0.0549 0.2500 0.4117 x2  6 Tl 3.04-3.20, 1 Sc 3.30
Sc2 0.1516 0.7500 0.1854 x2  1 In 2.95, 5 Tl 2.98-3.12, 2 Sc 3.19
Sc3 0.2579 0.2500 0.9961 x2  4 Tl 3.08-3.25, 3 In 3.09-3.21, 3 Sc 3.18-3.42
Sc4 0.3403 0.7500 0.8026 x2  3 In 3.15-3.25, 4 Tl 3.16-3.43, 5 Sc 3.18-3.42
Sc5 0.3619 0.2500 0.3012 x2  8 Sc 3.18-3.30, 3 Tl 3.27-3.54, 2 In 3.38
Sc6 0.4101 0.2500 0.6085 x2  4 Tl 2.95-3.13, 1 In 2.96, 3 Sc 3.22
Tl1 0.0308 0.7500 0.8880 x2  8 Sc 2.98-3.25
Tl2 0.1286 0.2500 0.7031 x2  8 Sc 2.98-3.16
Tl3 0.2838 0.7500 0.4746 x2  8 Sc 2.95-3.27
In1 0.4444 0.7500 0.1138 x2  8 Sc 2.95-3.25